1.
## LiMnPO4 (PBEsol)

Data for a relaxed structure of LiMnPO4.

calculated volume: 12.10 Å³ per atom
formation energy (no corrections): -2.03 eV/atom
electronic total energy: -7.531 eV per atom
SG: I-4, No. 82

```
data_LiMnPO4
_symmetry_space_group_name_H-M 'P 1'
_symmetry_Int_Tables_number 1
_symmetry_space_group_name_Hall 'P 1'
_cell_length_a 5.505
_cell_length_b 5.505
_cell_length_c 5.505
_cell_angle_alpha 134.07
_cell_angle_beta 134.07
_cell_angle_gamma 66.98
loop_
_atom_site_label
_atom_site_fract_x
_atom_site_fract_y
_atom_site_fract_z
_atom_site_occupancy
Li1 0.000 0.000 0.000 1
Mn1 0.250 0.750 0.500 1
P1 0.500 0.500 0.000 1
O1 0.210 0.626 0.031 1
O2 0.374 0.405 0.584 1
O3 0.595 0.179 0.969 1
O4 0.821 0.790 0.416 1
```

***

2.
## RuPb2Se (PBEsol)

Data for a relaxed structure of RuPb2Se.

calculated volume: 22.10 Å³ per atom
formation energy (no corrections): 0.07 eV/atom
electronic total energy: -5.432 eV per atom
SG: P4mm, No. 99

```
data_RuPb2Se
_symmetry_space_group_name_H-M 'P 1'
_symmetry_Int_Tables_number 1
_symmetry_space_group_name_Hall 'P 1'
_cell_length_a 3.164
_cell_length_b 3.164
_cell_length_c 8.829
_cell_angle_alpha 90.00
_cell_angle_beta 90.00
_cell_angle_gamma 90.00
loop_
_atom_site_label
_atom_site_fract_x
_atom_site_fract_y
_atom_site_fract_z
_atom_site_occupancy
Ru1 0.000 0.000 0.000 1
Pb1 0.000 0.000 0.435 1
Pb2 0.500 0.500 0.755 1
Se1 0.500 0.500 0.132 1
```

***

3.
## KSbPbSe2 (PBEsol)

Data for a relaxed structure of KSbPbSe2.

calculated volume: 34.59 Å³ per atom
formation energy (no corrections): 0.26 eV/atom
electronic total energy: -3.220 eV per atom
SG: P4/mmm, No. 123

```
data_KSbPbSe2
_symmetry_space_group_name_H-M 'P 1'
_symmetry_Int_Tables_number 1
_symmetry_space_group_name_Hall 'P 1'
_cell_length_a 5.429
_cell_length_b 5.429
_cell_length_c 5.867
_cell_angle_alpha 90.00
_cell_angle_beta 90.00
_cell_angle_gamma 90.00
loop_
_atom_site_label
_atom_site_fract_x
_atom_site_fract_y
_atom_site_fract_z
_atom_site_occupancy
K1 0.000 0.000 0.000 1
Sb1 0.000 0.000 0.500 1
Pb1 0.500 0.500 0.000 1
Se1 0.000 0.500 0.500 1
Se2 0.500 0.000 0.500 1
```

***

4.
## Cs3CdH (PBEsol)

Data for a relaxed structure of Cs3CdH.

calculated volume: 43.51 Å³ per atom
electronic total energy: -1.469 eV per atom
SG: Pm-3m, No. 221

```
data_Cs3CdH
_symmetry_space_group_name_H-M 'P 1'
_symmetry_Int_Tables_number 1
_symmetry_space_group_name_Hall 'P 1'
_cell_length_a 6.014
_cell_length_b 6.014
_cell_length_c 6.014
_cell_angle_alpha 90.00
_cell_angle_beta 90.00
_cell_angle_gamma 90.00
loop_
_atom_site_label
_atom_site_fract_x
_atom_site_fract_y
_atom_site_fract_z
_atom_site_occupancy
Cs1 0.000 0.000 0.500 1
Cs2 0.000 0.500 0.000 1
Cs3 0.500 0.000 0.000 1
Cd1 0.500 0.500 0.500 1
H1 0.000 0.000 0.000 1
```

***

5.
## MnHg4As (PBEsol)

Data for a relaxed structure of MnHg4As.

calculated volume: 21.85 Å³ per atom
electronic total energy: -2.288 eV per atom
SG: F-43m, No. 216

```
data_MnHg4As
_symmetry_space_group_name_H-M 'P 1'
_symmetry_Int_Tables_number 1
_symmetry_space_group_name_Hall 'P 1'
_cell_length_a 5.702
_cell_length_b 5.702
_cell_length_c 5.702
_cell_angle_alpha 60.00
_cell_angle_beta 60.00
_cell_angle_gamma 60.00
loop_
_atom_site_label
_atom_site_fract_x
_atom_site_fract_y
_atom_site_fract_z
_atom_site_occupancy
Mn1 0.000 0.000 0.000 1
Hg1 0.125 0.625 0.625 1
Hg2 0.625 0.125 0.625 1
Hg3 0.625 0.625 0.125 1
Hg4 0.625 0.625 0.625 1
As1 0.250 0.250 0.250 1
```

***

6.
## BaIr2Os (PBEsol)

Data for a relaxed structure of BaIr2Os.

calculated volume: 20.10 Å³ per atom
electronic total energy: -7.867 eV per atom
SG: Pm, No. 6

```
data_BaIr2Os
_symmetry_space_group_name_H-M 'P 1'
_symmetry_Int_Tables_number 1
_symmetry_space_group_name_Hall 'P 1'
_cell_length_a 2.852
_cell_length_b 4.246
_cell_length_c 6.766
_cell_angle_alpha 90.00
_cell_angle_beta 101.00
_cell_angle_gamma 90.00
loop_
_atom_site_label
_atom_site_fract_x
_atom_site_fract_y
_atom_site_fract_z
_atom_site_occupancy
Ba1 0.000 0.000 0.000 1
Ir1 0.642 0.500 0.299 1
Ir2 0.735 0.000 0.519 1
Os1 0.289 0.500 0.627 1
```

***

7.
## ReCl (PBEsol)

Data for a relaxed structure of ReCl.

calculated volume: 13.89 Å³ per atom
formation energy (no corrections): 1.56 eV/atom
electronic total energy: -6.114 eV per atom
SG: Pm-3m, No. 221

```
data_ReCl
_symmetry_space_group_name_H-M 'P 1'
_symmetry_Int_Tables_number 1
_symmetry_space_group_name_Hall 'P 1'
_cell_length_a 3.029
_cell_length_b 3.029
_cell_length_c 3.029
_cell_angle_alpha 90.00
_cell_angle_beta 90.00
_cell_angle_gamma 90.00
loop_
_atom_site_label
_atom_site_fract_x
_atom_site_fract_y
_atom_site_fract_z
_atom_site_occupancy
Re1 0.000 0.000 0.000 1
Cl1 0.500 0.500 0.500 1
```

***

8.
## Y3P2Rh2 (PBEsol)

Data for a relaxed structure of Y3P2Rh2.

calculated volume: 18.59 Å³ per atom
electronic total energy: -8.101 eV per atom
SG: Pbcm, No. 57

```
data_Y3P2Rh2
_symmetry_space_group_name_H-M 'P 1'
_symmetry_Int_Tables_number 1
_symmetry_space_group_name_Hall 'P 1'
_cell_length_a 5.414
_cell_length_b 7.140
_cell_length_c 13.465
_cell_angle_alpha 90.00
_cell_angle_beta 90.00
_cell_angle_gamma 90.00
loop_
_atom_site_label
_atom_site_fract_x
_atom_site_fract_y
_atom_site_fract_z
_atom_site_occupancy
Y1 0.126 0.246 0.250 1
Y2 0.126 0.254 0.750 1
Y3 0.369 0.607 0.598 1
Y4 0.369 0.607 0.902 1
Y5 0.369 0.893 0.098 1
Y6 0.369 0.893 0.402 1
Y7 0.631 0.107 0.598 1
Y8 0.631 0.107 0.902 1
Y9 0.631 0.393 0.098 1
Y10 0.631 0.393 0.402 1
Y11 0.874 0.746 0.250 1
Y12 0.874 0.754 0.750 1
P1 0.135 0.534 0.097 1
P2 0.135 0.534 0.403 1
P3 0.135 0.966 0.597 1
P4 0.135 0.966 0.903 1
P5 0.865 0.034 0.097 1
P6 0.865 0.034 0.403 1
P7 0.865 0.466 0.597 1
P8 0.865 0.466 0.903 1
Rh1 0.130 0.250 0.000 1
Rh2 0.130 0.250 0.500 1
Rh3 0.374 0.599 0.250 1
Rh4 0.374 0.901 0.750 1
Rh5 0.626 0.099 0.250 1
Rh6 0.626 0.401 0.750 1
Rh7 0.870 0.750 0.000 1
Rh8 0.870 0.750 0.500 1
```